VASP calculation (PBE) on crystalline Hf2ZnAu at its relaxed geometry.

The structure in POSCAR format:
```
Hf2ZnAu
1.0
7.535 0.000 0.000
0.000 7.535 0.000
0.000 0.000 5.805
Hf Zn Au
8 4 4
Direct
0.244 0.250 0.125
0.250 0.744 0.375
0.250 0.756 0.875
0.256 0.250 0.625
0.744 0.750 0.625
0.750 0.244 0.875
0.750 0.256 0.375
0.756 0.750 0.125
0.000 0.000 0.500
0.000 0.500 0.750
0.500 0.000 0.250
0.500 0.500 0.000
0.000 0.000 0.000
0.000 0.500 0.250
0.500 0.000 0.750
0.500 0.500 0.500
```

V ... 329.6 Å³/cell
N(E_F) ... 4.41 states/eV/f.u.
Final energy ... -5.999 eV per atom
Space group ... I-42d (122)